No. 1
DFT (PBE) results for a geometry-optimized YAlFe2C structure.

Results
Its crystal system is tetragonal. The total energy is -7.08 eV/atom.

a b c (Å): 4.0106 4.0106 4.7073
angles (deg): 90.00 90.00 90.00
Space group P4/mmm (No. 123)
Unique sites:
Y1 0.0000 0.0000 0.0000 [1 per cell]
Al1 0.5000 0.5000 0.0000 [1 per cell]
Fe1 0.0000 0.5000 0.5000 [2 per cell]
C1 0.0000 0.0000 0.5000 [1 per cell]

No. 2
DFT (PBE) results for a geometry-optimized Zr4AlFeC2 structure.

Results
Its crystal system is hexagonal. The total energy is -8.53 eV/atom.

a b c (Å): 3.3037 3.3037 14.0412
angles (deg): 90.00 90.00 120.00
Space group P-6m2 (No. 187)
Unique sites:
Zr1 0.0000 0.0000 0.1421 [2 per cell]
Zr2 0.6667 0.3333 0.3289 [2 per cell]
Al1 0.0000 0.0000 0.5000 [1 per cell]
Fe1 0.6667 0.3333 0.0000 [1 per cell]
C1 0.3333 0.6667 0.2404 [2 per cell]

No. 3
DFT (PBE) results for a geometry-optimized Ta4AlGaC2 structure.

Results
Its crystal system is hexagonal. The total energy is -9.60 eV/atom.

a b c (Å): 3.1053 3.1053 13.8232
angles (deg): 90.00 90.00 120.00
Space group P-6m2 (No. 187)
Unique sites:
Ta1 0.0000 0.0000 0.1584 [2 per cell]
Ta2 0.6667 0.3333 0.3393 [2 per cell]
Al1 0.0000 0.0000 0.5000 [1 per cell]
Ga1 0.6667 0.3333 0.0000 [1 per cell]
C1 0.3333 0.6667 0.2489 [2 per cell]

No. 4
DFT (PBE) results for a geometry-optimized AlGaW4C2 structure.

Results
Its crystal system is hexagonal. The total energy is -9.57 eV/atom.

a b c (Å): 3.0366 3.0366 13.4750
angles (deg): 90.00 90.00 120.00
Space group P-6m2 (No. 187)
Unique sites:
Al1 0.0000 0.0000 0.0000 [1 per cell]
Ga1 0.3333 0.6667 0.5000 [1 per cell]
W1 0.0000 0.0000 0.3406 [2 per cell]
W2 0.3333 0.6667 0.1603 [2 per cell]
C1 0.6667 0.3333 0.2505 [2 per cell]

No. 5
DFT (PBE) results for a geometry-optimized Gd2Al2C3 structure.

Results
Its crystal system is monoclinic. The total energy is -6.58 eV/atom.

a b c (Å): 10.8270 3.5242 5.7274
angles (deg): 90.00 108.19 90.00
Space group C2/m (No. 12)
Unique sites:
Gd1 0.1133 0.0000 0.2957 [4 per cell]
Al1 0.1535 0.5000 0.8858 [4 per cell]
C1 0.0000 0.5000 0.0000 [2 per cell]
C2 0.1977 0.0000 0.7490 [4 per cell]

No. 6
DFT (PBE) results for a geometry-optimized GdAl3C structure.

Results
Its crystal system is cubic. The total energy is -4.70 eV/atom.

a b c (Å): 4.3863 4.3863 4.3863
angles (deg): 90.00 90.00 90.00
Space group Pm-3m (No. 221)
Unique sites:
Gd1 0.0000 0.0000 0.0000 [1 per cell]
Al1 0.0000 0.5000 0.5000 [3 per cell]
C1 0.5000 0.5000 0.5000 [1 per cell]

No. 7
DFT (PBE) results for a geometry-optimized Sm2GdAlC structure.

Results
Its crystal system is tetragonal. The total energy is -5.69 eV/atom.

a b c (Å): 5.0150 5.0150 4.9473
angles (deg): 90.00 90.00 90.00
Space group P4/mmm (No. 123)
Unique sites:
Sm1 0.0000 0.5000 0.0000 [2 per cell]
Gd1 0.0000 0.0000 0.5000 [1 per cell]
Al1 0.5000 0.5000 0.5000 [1 per cell]
C1 0.0000 0.0000 0.0000 [1 per cell]

No. 8
DFT (PBE) results for a geometry-optimized GdY2AlC structure.

Results
Its crystal system is tetragonal. The total energy is -6.50 eV/atom.

a b c (Å): 4.8899 4.8899 4.9448
angles (deg): 90.00 90.00 90.00
Space group P4/mmm (No. 123)
Unique sites:
Gd1 0.0000 0.0000 0.0000 [1 per cell]
Y1 0.0000 0.5000 0.5000 [2 per cell]
Al1 0.5000 0.5000 0.0000 [1 per cell]
C1 0.0000 0.0000 0.5000 [1 per cell]

No. 9
DFT (PBE) results for a geometry-optimized Hf4AlGeC2 structure.

Results
Its crystal system is hexagonal. The total energy is -9.09 eV/atom.

a b c (Å): 3.2848 3.2848 13.9866
angles (deg): 90.00 90.00 120.00
Space group P-6m2 (No. 187)
Unique sites:
Hf1 0.0000 0.0000 0.1553 [2 per cell]
Hf2 0.6667 0.3333 0.3340 [2 per cell]
Al1 0.0000 0.0000 0.5000 [1 per cell]
Ge1 0.6667 0.3333 0.0000 [1 per cell]
C1 0.3333 0.6667 0.2444 [2 per cell]

No. 10
DFT (PBE) results for a geometry-optimized Lu4AlGeC2 structure.

Results
Its crystal system is hexagonal. The total energy is -6.06 eV/atom.

a b c (Å): 3.4834 3.4834 15.0774
angles (deg): 90.00 90.00 120.00
Space group P-6m2 (No. 187)
Unique sites:
Lu1 0.0000 0.0000 0.1559 [2 per cell]
Lu2 0.3333 0.6667 0.3296 [2 per cell]
Al1 0.0000 0.0000 0.5000 [1 per cell]
Ge1 0.3333 0.6667 0.0000 [1 per cell]
C1 0.6667 0.3333 0.2429 [2 per cell]

No. 11
DFT (PBE) results for a geometry-optimized AlGeMo4C2 structure.

Results
Its crystal system is hexagonal. The total energy is -8.88 eV/atom.

a b c (Å): 3.0812 3.0812 13.1032
angles (deg): 90.00 90.00 120.00
Space group P-6m2 (No. 187)
Unique sites:
Al1 0.0000 0.0000 0.0000 [1 per cell]
Ge1 0.3333 0.6667 0.5000 [1 per cell]
Mo1 0.0000 0.0000 0.3438 [2 per cell]
Mo2 0.3333 0.6667 0.1646 [2 per cell]
C1 0.6667 0.3333 0.2533 [2 per cell]

No. 12
DFT (PBE) results for a geometry-optimized Nb4AlGeC2 structure.

Results
Its crystal system is hexagonal. The total energy is -8.90 eV/atom.

a b c (Å): 3.1893 3.1893 13.3180
angles (deg): 90.00 90.00 120.00
Space group P-6m2 (No. 187)
Unique sites:
Nb1 0.0000 0.0000 0.1532 [2 per cell]
Nb2 0.6667 0.3333 0.3352 [2 per cell]
Al1 0.0000 0.0000 0.5000 [1 per cell]
Ge1 0.6667 0.3333 0.0000 [1 per cell]
C1 0.3333 0.6667 0.2451 [2 per cell]

No. 13
DFT (PBE) results for a geometry-optimized Ta4AlGeC2 structure.

Results
Its crystal system is hexagonal. The total energy is -9.77 eV/atom.

a b c (Å): 3.1661 3.1661 13.2938
angles (deg): 90.00 90.00 120.00
Space group P-6m2 (No. 187)
Unique sites:
Ta1 0.0000 0.0000 0.1522 [2 per cell]
Ta2 0.6667 0.3333 0.3349 [2 per cell]
Al1 0.0000 0.0000 0.5000 [1 per cell]
Ge1 0.6667 0.3333 0.0000 [1 per cell]
C1 0.3333 0.6667 0.2440 [2 per cell]

No. 14
DFT (PBE) results for a geometry-optimized Zr4AlGeC2 structure.

Results
Its crystal system is hexagonal. The total energy is -8.35 eV/atom.

a b c (Å): 3.3369 3.3369 14.1670
angles (deg): 90.00 90.00 120.00
Space group P-6m2 (No. 187)
Unique sites:
Zr1 0.0000 0.0000 0.1555 [2 per cell]
Zr2 0.3333 0.6667 0.3349 [2 per cell]
Al1 0.0000 0.0000 0.5000 [1 per cell]
Ge1 0.3333 0.6667 0.0000 [1 per cell]
C1 0.6667 0.3333 0.2454 [2 per cell]

No. 15
DFT (PBE) results for a geometry-optimized Hf4AlInC2 structure.

Results
Its crystal system is hexagonal. The total energy is -8.80 eV/atom.

a b c (Å): 3.2997 3.2997 14.6151
angles (deg): 90.00 90.00 120.00
Space group P-6m2 (No. 187)
Unique sites:
Hf1 0.0000 0.0000 0.1596 [2 per cell]
Hf2 0.6667 0.3333 0.3284 [2 per cell]
Al1 0.6667 0.3333 0.0000 [1 per cell]
In1 0.0000 0.0000 0.5000 [1 per cell]
C1 0.3333 0.6667 0.2453 [2 per cell]

No. 16
DFT (PBE) results for a geometry-optimized Lu2Hf4Al3C3 structure.

Results
Its crystal system is monoclinic. The total energy is -7.97 eV/atom.

a b c (Å): 9.9708 5.7587 14.9294
angles (deg): 90.00 103.18 90.00
Space group C2/c (No. 15)
Unique sites:
Lu1 0.0456 0.0816 0.3943 [8 per cell]
Hf1 0.1106 0.4102 0.5817 [8 per cell]
Hf2 0.2255 0.4190 0.9183 [8 per cell]
Al1 0.0000 0.4378 0.7500 [4 per cell]
Al2 0.2383 0.1531 0.7505 [8 per cell]
C1 0.0849 0.2546 0.0001 [8 per cell]
C2 0.2500 0.2500 0.5000 [4 per cell]

No. 17
DFT (PBE) results for a geometry-optimized Lu4Hf2Al3C3 structure.

Results
Its crystal system is monoclinic. The total energy is -6.90 eV/atom.

a b c (Å): 10.2580 5.9249 15.2560
angles (deg): 90.00 103.32 90.00
Space group C2/c (No. 15)
Unique sites:
Lu1 0.1150 0.0779 0.0937 [8 per cell]
Lu2 0.2155 0.0865 0.4061 [8 per cell]
Hf1 0.0603 0.4140 0.9226 [8 per cell]
Al1 0.0000 0.1478 0.7500 [4 per cell]
Al2 0.1348 0.4469 0.2498 [8 per cell]
C1 0.0789 0.2633 0.5000 [8 per cell]
C2 0.2500 0.2500 0.0000 [4 per cell]

No. 18
DFT (PBE) results for a geometry-optimized Hf2Al3Mo4C3 structure.

Results
Its crystal system is monoclinic. The total energy is -8.94 eV/atom.

a b c (Å): 9.3245 5.3990 13.8746
angles (deg): 90.00 103.31 90.00
Space group C2/c (No. 15)
Unique sites:
Hf1 0.0460 0.0833 0.3907 [8 per cell]
Al1 0.0000 0.4335 0.7500 [4 per cell]
Al2 0.2402 0.1546 0.7496 [8 per cell]
Mo1 0.1099 0.4130 0.5802 [8 per cell]
Mo2 0.2248 0.4177 0.9199 [8 per cell]
C1 0.0811 0.2431 0.0000 [8 per cell]
C2 0.2500 0.2500 0.5000 [4 per cell]

No. 19
DFT (PBE) results for a geometry-optimized Hf8Al2C3N3 structure.

Results
Its crystal system is trigonal. The total energy is -9.86 eV/atom.

a b c (Å): 3.2498 3.2498 24.6791
angles (deg): 90.00 90.00 120.00
Space group P-3m1 (No. 164)
Unique sites:
Hf1 0.0000 0.0000 0.1551 [2 per cell]
Hf2 0.0000 0.0000 0.3413 [2 per cell]
Hf3 0.3333 0.6667 0.5527 [2 per cell]
Hf4 0.3333 0.6667 0.9461 [2 per cell]
Al1 0.3333 0.6667 0.7528 [2 per cell]
C1 0.0000 0.0000 0.5000 [1 per cell]
C2 0.3333 0.6667 0.3890 [2 per cell]
N1 0.0000 0.0000 0.0000 [1 per cell]
N2 0.3333 0.6667 0.1045 [2 per cell]

No. 20
DFT (PBE) results for a geometry-optimized Hf4Nb2Al3C3 structure.

Results
Its crystal system is monoclinic. The total energy is -8.90 eV/atom.

a b c (Å): 9.6559 5.5805 14.5419
angles (deg): 90.00 102.81 90.00
Space group C2/c (No. 15)
Unique sites:
Hf1 0.1140 0.0810 0.0912 [8 per cell]
Hf2 0.2183 0.0843 0.4087 [8 per cell]
Nb1 0.0567 0.4160 0.9171 [8 per cell]
Al1 0.0000 0.1130 0.7500 [4 per cell]
Al2 0.1523 0.4297 0.2492 [8 per cell]
C1 0.0831 0.2502 0.5001 [8 per cell]
C2 0.2500 0.2500 0.0000 [4 per cell]

No. 21
DFT (PBE) results for a geometry-optimized Hf4AlPC2 structure.

Results
Its crystal system is hexagonal. The total energy is -9.32 eV/atom.

a b c (Å): 3.3423 3.3423 13.2004
angles (deg): 90.00 90.00 120.00
Space group P-6m2 (No. 187)
Unique sites:
Hf1 0.0000 0.0000 0.1365 [2 per cell]
Hf2 0.6667 0.3333 0.3262 [2 per cell]
Al1 0.0000 0.0000 0.5000 [1 per cell]
P1 0.6667 0.3333 0.0000 [1 per cell]
C1 0.3333 0.6667 0.2330 [2 per cell]

No. 22
DFT (PBE) results for a geometry-optimized Hf4AlPC2 structure.

Results
Its crystal system is hexagonal. The total energy is -9.32 eV/atom.

a b c (Å): 3.3423 3.3423 13.2005
angles (deg): 90.00 90.00 120.00
Space group P-6m2 (No. 187)
Unique sites:
Hf1 0.0000 0.0000 0.1365 [2 per cell]
Hf2 0.3333 0.6667 0.3262 [2 per cell]
Al1 0.0000 0.0000 0.5000 [1 per cell]
P1 0.3333 0.6667 0.0000 [1 per cell]
C1 0.6667 0.3333 0.2330 [2 per cell]